Here is CsHoMnO3 after structural relaxation from Alexandria. Energies are from GGA+U.

Summary:
final energy	-41.35	eV/f.u.
space group	No. 11

Cell lengths 7.3290, 3.5622, 9.5931 Å; angles 90.00, 92.43, 90.00 degrees
Fractional positions:
Cs  0.0826  0.2500  0.2719
Cs  0.9174  0.7500  0.7281
Ho  0.4356  0.7500  0.6406
Ho  0.5644  0.2500  0.3594
Mn  0.3923  0.2500  0.9085
Mn  0.6077  0.7500  0.0915
O  0.2616  0.2500  0.7201
O  0.3800  0.7500  0.4136
O  0.4486  0.2500  0.1207
O  0.5514  0.7500  0.8793
O  0.6200  0.2500  0.5864
O  0.7384  0.7500  0.2799